1.
# LaMg14W | Alexandria via LeMat-Bulk | GGA-PBE | relaxed
# * M_tot: 0.00 Bohr magnetons per cell
# * volume: 367.0 Å³/cell
# * symmetry: Amm2 (38)
# * DFT formation energy: 2.37 eV per formula unit
data_LaMg14W
_cell_length_a 6.5067
_cell_length_b 6.5067
_cell_length_c 10.4293
_cell_angle_alpha 90.00
_cell_angle_beta 90.00
_cell_angle_gamma 123.79
_symmetry_space_group_name_H-M 'P 1'
_symmetry_Int_Tables_number 1
loop_
_symmetry_equiv_pos_as_xyz
'x,y,z'
loop_
_atom_site_label
_atom_site_type_symbol
_atom_site_fract_x
_atom_site_fract_y
_atom_site_fract_z
_atom_site_occupancy
La1 La 0.8175 0.1825 0.5000 1
Mg1 Mg 0.8345 0.1655 0.0000 1
Mg2 Mg 0.3288 0.6712 0.0000 1
Mg3 Mg 0.3228 0.1843 0.5000 1
Mg4 Mg 0.3249 0.1663 0.0000 1
Mg5 Mg 0.8157 0.6772 0.5000 1
Mg6 Mg 0.8337 0.6751 0.0000 1
Mg7 Mg 0.1789 0.3364 0.2514 1
Mg8 Mg 0.1789 0.3364 0.7486 1
Mg9 Mg 0.6636 0.8211 0.2514 1
Mg10 Mg 0.6636 0.8211 0.7486 1
Mg11 Mg 0.6669 0.3331 0.2325 1
Mg12 Mg 0.6669 0.3331 0.7675 1
Mg13 Mg 0.1822 0.8178 0.2734 1
Mg14 Mg 0.1822 0.8178 0.7266 1
W1 W 0.3390 0.6610 0.5000 1

***

2.
# La4MgW | Alexandria via LeMat-Bulk | GGA-PBE | relaxed
# * M_tot: 0.42 Bohr magnetons per cell
# * volume: 179.6 Å³/cell
# * symmetry: F-43m (216)
# * DFT formation energy: 5.52 eV per formula unit
data_La4MgW
_cell_length_a 6.3325
_cell_length_b 6.3325
_cell_length_c 6.3325
_cell_angle_alpha 60.00
_cell_angle_beta 60.00
_cell_angle_gamma 60.00
_symmetry_space_group_name_H-M 'P 1'
_symmetry_Int_Tables_number 1
loop_
_symmetry_equiv_pos_as_xyz
'x,y,z'
loop_
_atom_site_label
_atom_site_type_symbol
_atom_site_fract_x
_atom_site_fract_y
_atom_site_fract_z
_atom_site_occupancy
La1 La 0.8804 0.3732 0.3732 1
La2 La 0.3732 0.3732 0.8804 1
La3 La 0.3732 0.8804 0.3732 1
La4 La 0.3732 0.3732 0.3732 1
Mg1 Mg 0.7500 0.7500 0.7500 1
W1 W 0.0000 0.0000 0.0000 1

***

3.
# LaMgW2 | Alexandria via LeMat-Bulk | GGA-PBE | relaxed
# * M_tot: 0.00 Bohr magnetons per cell
# * volume: 83.0 Å³/cell
# * symmetry: Cmm2 (35)
# * DFT formation energy: 1.68 eV per formula unit
data_LaMgW2
_cell_length_a 2.9603
_cell_length_b 2.9603
_cell_length_c 10.2526
_cell_angle_alpha 90.00
_cell_angle_beta 90.00
_cell_angle_gamma 112.58
_symmetry_space_group_name_H-M 'P 1'
_symmetry_Int_Tables_number 1
loop_
_symmetry_equiv_pos_as_xyz
'x,y,z'
loop_
_atom_site_label
_atom_site_type_symbol
_atom_site_fract_x
_atom_site_fract_y
_atom_site_fract_z
_atom_site_occupancy
La1 La 0.0000 0.0000 0.4784 1
Mg1 Mg 0.5000 0.5000 0.7862 1
W1 W 0.0000 0.0000 0.0207 1
W2 W 0.5000 0.5000 0.2146 1

***

4.
# LaMgW2 | Alexandria via LeMat-Bulk | GGA-PBE | relaxed
# * M_tot: 0.00 Bohr magnetons per cell
# * volume: 78.8 Å³/cell
# * symmetry: Cmmm (65)
# * DFT formation energy: 3.04 eV per formula unit
data_LaMgW2
_cell_length_a 2.8501
_cell_length_b 2.8501
_cell_length_c 10.5691
_cell_angle_alpha 90.00
_cell_angle_beta 90.00
_cell_angle_gamma 113.43
_symmetry_space_group_name_H-M 'P 1'
_symmetry_Int_Tables_number 1
loop_
_symmetry_equiv_pos_as_xyz
'x,y,z'
loop_
_atom_site_label
_atom_site_type_symbol
_atom_site_fract_x
_atom_site_fract_y
_atom_site_fract_z
_atom_site_occupancy
La1 La 0.5000 0.5000 0.2500 1
Mg1 Mg 0.5000 0.5000 0.7500 1
W1 W 0.0000 0.0000 0.9790 1
W2 W 0.0000 0.0000 0.5210 1

***

5.
# La3MgW | Alexandria via LeMat-Bulk | GGA-PBE | relaxed
# * M_tot: 0.00 Bohr magnetons per cell
# * volume: 178.0 Å³/cell
# * symmetry: Pm-3m (221)
# * DFT formation energy: 1.96 eV per formula unit
data_La3MgW
_cell_length_a 5.6257
_cell_length_b 5.6257
_cell_length_c 5.6257
_cell_angle_alpha 90.00
_cell_angle_beta 90.00
_cell_angle_gamma 90.00
_symmetry_space_group_name_H-M 'P 1'
_symmetry_Int_Tables_number 1
loop_
_symmetry_equiv_pos_as_xyz
'x,y,z'
loop_
_atom_site_label
_atom_site_type_symbol
_atom_site_fract_x
_atom_site_fract_y
_atom_site_fract_z
_atom_site_occupancy
Mg1 Mg 0.5000 0.5000 0.5000 1
W1 W 0.0000 0.0000 0.0000 1
La1 La 0.0000 0.5000 0.0000 1
La2 La 0.0000 0.0000 0.5000 1
La3 La 0.5000 0.0000 0.0000 1

***

6.
# LaMgW2 | Alexandria via LeMat-Bulk | GGA-PBE | relaxed
# * M_tot: 0.00 Bohr magnetons per cell
# * volume: 87.3 Å³/cell
# * symmetry: P4/mmm (123)
# * DFT formation energy: 3.17 eV per formula unit
data_LaMgW2
_cell_length_a 3.5952
_cell_length_b 3.5952
_cell_length_c 6.7539
_cell_angle_alpha 90.00
_cell_angle_beta 90.00
_cell_angle_gamma 90.00
_symmetry_space_group_name_H-M 'P 1'
_symmetry_Int_Tables_number 1
loop_
_symmetry_equiv_pos_as_xyz
'x,y,z'
loop_
_atom_site_label
_atom_site_type_symbol
_atom_site_fract_x
_atom_site_fract_y
_atom_site_fract_z
_atom_site_occupancy
La1 La 0.5000 0.5000 0.2500 1
Mg1 Mg 0.5000 0.5000 0.7500 1
W1 W 0.0000 0.0000 0.9261 1
W2 W 0.0000 0.0000 0.5739 1

***

7.
# LaMgW2 | Alexandria via LeMat-Bulk | GGA-PBE | relaxed
# * M_tot: 0.00 Bohr magnetons per cell
# * volume: 78.9 Å³/cell
# * symmetry: P4/mmm (123)
# * DFT formation energy: 2.84 eV per formula unit
data_LaMgW2
_cell_length_a 2.7961
_cell_length_b 2.7961
_cell_length_c 10.0962
_cell_angle_alpha 90.00
_cell_angle_beta 90.00
_cell_angle_gamma 90.00
_symmetry_space_group_name_H-M 'P 1'
_symmetry_Int_Tables_number 1
loop_
_symmetry_equiv_pos_as_xyz
'x,y,z'
loop_
_atom_site_label
_atom_site_type_symbol
_atom_site_fract_x
_atom_site_fract_y
_atom_site_fract_z
_atom_site_occupancy
La1 La 0.5000 0.5000 0.2500 1
Mg1 Mg 0.5000 0.5000 0.7500 1
W1 W 0.0000 0.0000 0.9754 1
W2 W 0.0000 0.0000 0.5246 1

***

8.
# LaMgW2 | Alexandria via LeMat-Bulk | GGA-PBE | relaxed
# * M_tot: 0.00 Bohr magnetons per cell
# * volume: 78.2 Å³/cell
# * symmetry: Fm-3m (225)
# * DFT formation energy: 4.33 eV per formula unit
data_LaMgW2
_cell_length_a 4.8000
_cell_length_b 4.8000
_cell_length_c 4.8000
_cell_angle_alpha 60.00
_cell_angle_beta 60.00
_cell_angle_gamma 60.00
_symmetry_space_group_name_H-M 'P 1'
_symmetry_Int_Tables_number 1
loop_
_symmetry_equiv_pos_as_xyz
'x,y,z'
loop_
_atom_site_label
_atom_site_type_symbol
_atom_site_fract_x
_atom_site_fract_y
_atom_site_fract_z
_atom_site_occupancy
Mg1 Mg 0.0000 0.0000 0.0000 1
W1 W 0.2500 0.2500 0.2500 1
W2 W 0.7500 0.7500 0.7500 1
La1 La 0.5000 0.5000 0.5000 1

***

9.
# LaMgW2 | Alexandria via LeMat-Bulk | GGA-PBE | relaxed
# * M_tot: 0.00 Bohr magnetons per cell
# * volume: 82.3 Å³/cell
# * symmetry: P4/mmm (123)
# * DFT formation energy: 3.57 eV per formula unit
data_LaMgW2
_cell_length_a 4.8410
_cell_length_b 4.1227
_cell_length_c 4.1227
_cell_angle_alpha 90.00
_cell_angle_beta 90.00
_cell_angle_gamma 90.00
_symmetry_space_group_name_H-M 'P 1'
_symmetry_Int_Tables_number 1
loop_
_symmetry_equiv_pos_as_xyz
'x,y,z'
loop_
_atom_site_label
_atom_site_type_symbol
_atom_site_fract_x
_atom_site_fract_y
_atom_site_fract_z
_atom_site_occupancy
La1 La 0.5000 0.5000 0.0000 1
Mg1 Mg 0.5000 0.0000 0.5000 1
W1 W 0.0000 0.0000 0.0000 1
W2 W 0.0000 0.5000 0.5000 1

***

10.
# LaMg14W | Alexandria via LeMat-Bulk | GGA-PBE | relaxed
# * M_tot: 1.73 Bohr magnetons per cell
# * volume: 369.3 Å³/cell
# * symmetry: P-6m2 (187)
# * DFT formation energy: 2.91 eV per formula unit
data_LaMg14W
_cell_length_a 6.4548
_cell_length_b 6.4548
_cell_length_c 10.2352
_cell_angle_alpha 90.00
_cell_angle_beta 90.00
_cell_angle_gamma 120.00
_symmetry_space_group_name_H-M 'P 1'
_symmetry_Int_Tables_number 1
loop_
_symmetry_equiv_pos_as_xyz
'x,y,z'
loop_
_atom_site_label
_atom_site_type_symbol
_atom_site_fract_x
_atom_site_fract_y
_atom_site_fract_z
_atom_site_occupancy
La1 La 0.0000 0.0000 0.0000 1
Mg1 Mg 0.0170 0.5085 0.0000 1
Mg2 Mg 0.9913 0.4957 0.5000 1
Mg3 Mg 0.4915 0.9830 0.0000 1
Mg4 Mg 0.5043 0.0087 0.5000 1
Mg5 Mg 0.4915 0.5085 0.0000 1
Mg6 Mg 0.5043 0.4957 0.5000 1
Mg7 Mg 0.1625 0.8375 0.2716 1
Mg8 Mg 0.1625 0.8375 0.7284 1
Mg9 Mg 0.1625 0.3251 0.2716 1
Mg10 Mg 0.1625 0.3251 0.7284 1
Mg11 Mg 0.6749 0.8375 0.2716 1
Mg12 Mg 0.6749 0.8375 0.7284 1
Mg13 Mg 0.6667 0.3333 0.2344 1
Mg14 Mg 0.6667 0.3333 0.7656 1
W1 W 0.0000 0.0000 0.5000 1

***

11.
# LaMgW2 | Alexandria via LeMat-Bulk | GGA-PBE | relaxed
# * M_tot: 0.00 Bohr magnetons per cell
# * volume: 79.6 Å³/cell
# * symmetry: R-3m (166)
# * DFT formation energy: 3.43 eV per formula unit
data_LaMgW2
_cell_length_a 10.8718
_cell_length_b 10.8718
_cell_length_c 10.8718
_cell_angle_alpha 15.46
_cell_angle_beta 15.46
_cell_angle_gamma 15.46
_symmetry_space_group_name_H-M 'P 1'
_symmetry_Int_Tables_number 1
loop_
_symmetry_equiv_pos_as_xyz
'x,y,z'
loop_
_atom_site_label
_atom_site_type_symbol
_atom_site_fract_x
_atom_site_fract_y
_atom_site_fract_z
_atom_site_occupancy
La1 La 0.2500 0.2500 0.2500 1
Mg1 Mg 0.7500 0.7500 0.7500 1
W1 W 0.0075 0.0075 0.0075 1
W2 W 0.4925 0.4925 0.4925 1

***

12.
# LaMgW2 | Alexandria via LeMat-Bulk | GGA-PBE | relaxed
# * M_tot: 0.00 Bohr magnetons per cell
# * volume: 79.1 Å³/cell
# * symmetry: C2/m (12)
# * DFT formation energy: 3.14 eV per formula unit
data_LaMgW2
_cell_length_a 5.5910
_cell_length_b 5.8195
_cell_length_c 2.8478
_cell_angle_alpha 80.10
_cell_angle_beta 81.30
_cell_angle_gamma 116.32
_symmetry_space_group_name_H-M 'P 1'
_symmetry_Int_Tables_number 1
loop_
_symmetry_equiv_pos_as_xyz
'x,y,z'
loop_
_atom_site_label
_atom_site_type_symbol
_atom_site_fract_x
_atom_site_fract_y
_atom_site_fract_z
_atom_site_occupancy
La1 La 0.0000 0.5000 0.5000 1
Mg1 Mg 0.5000 0.5000 0.0000 1
W1 W 0.0000 0.0000 0.0000 1
W2 W 0.5000 0.0000 0.5000 1

***

13.
# LaMgW2 | Alexandria via LeMat-Bulk | GGA-PBE | relaxed
# * M_tot: 0.00 Bohr magnetons per cell
# * volume: 80.4 Å³/cell
# * symmetry: Pmmm (47)
# * DFT formation energy: 3.30 eV per formula unit
data_LaMgW2
_cell_length_a 3.3693
_cell_length_b 4.7802
_cell_length_c 4.9891
_cell_angle_alpha 90.00
_cell_angle_beta 90.00
_cell_angle_gamma 90.00
_symmetry_space_group_name_H-M 'P 1'
_symmetry_Int_Tables_number 1
loop_
_symmetry_equiv_pos_as_xyz
'x,y,z'
loop_
_atom_site_label
_atom_site_type_symbol
_atom_site_fract_x
_atom_site_fract_y
_atom_site_fract_z
_atom_site_occupancy
La1 La 0.5000 0.0000 0.5000 1
Mg1 Mg 0.0000 0.5000 0.5000 1
W1 W 0.0000 0.0000 0.0000 1
W2 W 0.5000 0.5000 0.0000 1

***

14.
# LaMgW2 | Alexandria via LeMat-Bulk | GGA-PBE | relaxed
# * M_tot: 0.00 Bohr magnetons per cell
# * volume: 83.9 Å³/cell
# * symmetry: Pmmm (47)
# * DFT formation energy: 2.91 eV per formula unit
data_LaMgW2
_cell_length_a 2.7964
_cell_length_b 4.6150
_cell_length_c 6.5027
_cell_angle_alpha 90.00
_cell_angle_beta 90.00
_cell_angle_gamma 90.00
_symmetry_space_group_name_H-M 'P 1'
_symmetry_Int_Tables_number 1
loop_
_symmetry_equiv_pos_as_xyz
'x,y,z'
loop_
_atom_site_label
_atom_site_type_symbol
_atom_site_fract_x
_atom_site_fract_y
_atom_site_fract_z
_atom_site_occupancy
La1 La 0.5000 0.5000 0.2500 1
Mg1 Mg 0.5000 0.5000 0.7500 1
W1 W 0.0000 0.0000 0.9436 1
W2 W 0.0000 0.0000 0.5564 1